Record 1
First-principles (PBE) data for an optimized crystal structure of Zr2ScOs2, as listed in Alexandria via LeMat-Bulk.

Unit cell a=3.294 b=23.817 c=4.724 alpha=90.00 beta=90.00 gamma=90.00
Space group Cmcm (No. 63)
Unique sites:
Zr 0.000 0.049 0.250 x4
Zr 0.000 0.235 0.250 x4
Sc 0.000 0.143 0.750 x4
Os 0.000 0.355 0.750 x4
Os 0.000 0.452 0.250 x4

Results
ΔH_f (0 K), eV/atom: -0.42
E above lowest polymorph, eV/atom: 0.0000
Magnetization, μB/f.u.: 0.000
Calculated total energy, eV per cell: -191.956

Record 2
First-principles (PBE) data for an optimized crystal structure of GaP2S2, as listed in Alexandria via LeMat-Bulk.

Unit cell a=8.020 b=8.020 c=3.161 alpha=90.00 beta=90.00 gamma=90.00
Space group P4/mbm (No. 127)
Unique sites:
Ga 0.000 0.000 0.000 x2
P 0.229 0.271 0.000 x4
S 0.142 0.642 0.500 x4

Results
E above lowest polymorph, eV/atom: 0.0000
Magnetization, μB/f.u.: 0.000
Calculated total energy, eV per cell: -43.063
Energy relative to the elements, uncorrected, kJ per mole of atoms: 11.0

Record 3
First-principles (PBE) data for an optimized crystal structure of PmYHgRu, as listed in Alexandria via LeMat-Bulk.

Unit cell a=3.526 b=3.526 c=7.627 alpha=90.00 beta=90.00 gamma=90.00
Space group P4mm (No. 99)
Unique sites:
Pm 0.000 0.000 0.000 x1
Y 0.000 0.000 0.559 x1
Hg 0.500 0.500 0.291 x1
Ru 0.500 0.500 0.774 x1

Results
ΔH_f (0 K), eV/atom: -0.41
E above lowest polymorph, eV/atom: 0.0000
Magnetization, μB/f.u.: 0.000
Calculated total energy, eV per cell: -22.431

Record 4
First-principles (PBE) data for an optimized crystal structure of NdAgF, as listed in Alexandria via LeMat-Bulk.

Unit cell a=7.211 b=4.188 c=8.863 alpha=90.00 beta=105.87 gamma=90.00
Space group C2/m (No. 12)
Unique sites:
Nd 0.099 0.000 0.299 x4
Ag 0.142 0.500 0.925 x4
F 0.195 0.000 0.583 x4

Results
Magnetization, μB/f.u.: 0.231
Calculated total energy, eV per cell: -58.466
Energy relative to the elements, uncorrected, kJ per mole of atoms: -164.9

Record 5
First-principles (PBE) data for an optimized crystal structure of PrDy5Er, as listed in Alexandria via LeMat-Bulk.

Unit cell a=5.777 b=8.632 c=11.940 alpha=90.00 beta=90.00 gamma=90.00
Space group Immm (No. 71)
Unique sites:
Pr 0.000 0.000 0.000 x2
Dy 0.000 0.000 0.246 x4
Dy 0.000 0.323 0.000 x4
Dy 0.000 0.500 0.500 x2
Er 0.000 0.000 0.500 x2

Results
ΔH_f (0 K), eV/atom: 1.09
E above lowest polymorph, eV/atom: 0.9843
Magnetization, μB/f.u.: 0.005
Calculated total energy, eV per cell: -49.483

Record 6
First-principles (PBE) data for an optimized crystal structure of MgAl2P, as listed in Alexandria via LeMat-Bulk.

Unit cell a=3.513 b=3.830 c=10.840 alpha=90.00 beta=90.00 gamma=90.00
Space group Amm2 (No. 38)
Unique sites:
Mg 0.000 0.000 0.000 x2
Al 0.000 0.000 0.273 x2
Al 0.500 0.000 0.668 x2
P 0.500 0.000 0.440 x2

Results
ΔH_f (0 K), eV/atom: -0.15
E above lowest polymorph, eV/atom: 0.0000
Magnetization, μB/f.u.: 0.000
Calculated total energy, eV per cell: -30.186

Record 7
First-principles (PBE) data for an optimized crystal structure of Mg3ZrAu2, as listed in Alexandria via LeMat-Bulk.

Unit cell a=4.663 b=8.529 c=5.889 alpha=90.00 beta=90.00 gamma=90.00
Space group Pmc2_1 (No. 26)
Unique sites:
Mg 0.000 0.035 0.000 x2
Mg 0.000 0.314 0.325 x2
Mg 0.500 0.170 0.728 x2
Zr 0.500 0.484 0.045 x2
Au 0.000 0.352 0.799 x2
Au 0.500 0.154 0.253 x2

Results
ΔH_f (0 K), eV/atom: -0.46
Magnetization, μB/f.u.: 0.000
Calculated total energy, eV per cell: -45.243

Record 8
First-principles (PBE) data for an optimized crystal structure of Ge2TeAs2, as listed in Alexandria via LeMat-Bulk.

Unit cell a=3.943 b=3.943 c=14.677 alpha=90.00 beta=90.00 gamma=90.00
Space group I4/mmm (No. 139)
Unique sites:
Ge 0.000 0.000 0.106 x4
Te 0.000 0.000 0.500 x2
As 0.000 0.500 0.250 x4

Results
E above lowest polymorph, eV/atom: 0.0000
Magnetization, μB/f.u.: 0.000
Calculated total energy, eV per cell: -41.283
Energy relative to the elements, uncorrected, kJ per mole of atoms: 20.0

Record 9
First-principles (PBE) data for an optimized crystal structure of Gd2HoSc, as listed in Alexandria via LeMat-Bulk.

Unit cell a=7.835 b=7.835 c=7.835 alpha=90.00 beta=90.00 gamma=90.00
Space group Fm-3m (No. 225)
Unique sites:
Gd 0.250 0.250 0.250 x8
Ho 0.000 0.000 0.000 x4
Sc 0.000 0.000 0.500 x4

Results
ΔH_f (0 K), eV/atom: 0.11
E above lowest polymorph, eV/atom: 0.0577
Magnetization, μB/f.u.: 15.222
Calculated total energy, eV per cell: -154.581

Record 10
First-principles (PBE) data for an optimized crystal structure of Pm4NdRh, as listed in Alexandria via LeMat-Bulk.

Unit cell a=6.041 b=7.626 c=16.445 alpha=90.00 beta=90.00 gamma=90.00
Space group Immm (No. 71)
Unique sites:
Pm 0.000 0.000 0.171 x4
Pm 0.000 0.249 0.384 x8
Pm 0.000 0.295 0.000 x4
Nd 0.000 0.500 0.199 x4
Rh 0.232 0.500 0.500 x4

Results
ΔH_f (0 K), eV/atom: -0.20
Magnetization, μB/f.u.: 0.000
Calculated total energy, eV per cell: -129.329

Record 11
First-principles (PBE) data for an optimized crystal structure of CuWI2N, as listed in Alexandria via LeMat-Bulk.

Unit cell a=5.505 b=5.505 c=3.559 alpha=90.00 beta=90.00 gamma=90.00
Space group P4/mmm (No. 123)
Unique sites:
Cu 0.000 0.000 0.000 x1
W 0.500 0.500 0.500 x1
I 0.000 0.500 0.000 x2
N 0.000 0.000 0.500 x1

Results
E above lowest polymorph, eV/atom: 0.9402
Magnetization, μB/f.u.: 1.198
Calculated total energy, eV per cell: -20.656
Energy relative to the elements, uncorrected, kJ per mole of atoms: 150.9

Record 12
First-principles (PBE) data for an optimized crystal structure of Li2YAlO, as listed in Alexandria via LeMat-Bulk.

Unit cell a=5.439 b=5.439 c=3.514 alpha=90.00 beta=90.00 gamma=90.00
Space group P4/mmm (No. 123)
Unique sites:
Li 0.000 0.500 0.000 x2
Y 0.000 0.000 0.500 x1
Al 0.500 0.500 0.000 x1
O 0.500 0.500 0.500 x1

Results
Magnetization, μB/f.u.: 0.000
Calculated total energy, eV per cell: -20.605
Energy relative to the elements, uncorrected, kJ per mole of atoms: -31.1

Record 13
First-principles (PBE) data for an optimized crystal structure of Cs3Sb4Pt4, as listed in Alexandria via LeMat-Bulk.

Unit cell a=4.635 b=5.536 c=25.900 alpha=90.00 beta=90.00 gamma=90.00
Space group Immm (No. 71)
Unique sites:
Cs 0.000 0.000 0.000 x2
Cs 0.000 0.500 0.362 x4
Sb 0.000 0.000 0.247 x4
Sb 0.000 0.500 0.100 x4
Pt 0.000 0.000 0.448 x4
Pt 0.000 0.500 0.203 x4

Results
Magnetization, μB/f.u.: 0.000
Calculated total energy, eV per cell: -93.342
Energy relative to the elements, uncorrected, kJ per mole of atoms: -30.3

Record 14
First-principles (PBE) data for an optimized crystal structure of TmZn4Ag4, as listed in Alexandria via LeMat-Bulk.

Unit cell a=8.428 b=8.428 c=4.696 alpha=90.00 beta=90.00 gamma=90.00
Space group I4/m (No. 87)
Unique sites:
Tm 0.000 0.000 0.000 x2
Zn 0.117 0.210 0.500 x8
Ag 0.075 0.353 0.000 x8

Results
ΔH_f (0 K), eV/atom: -0.04
Magnetization, μB/f.u.: 0.000
Calculated total energy, eV per cell: -42.606

Record 15
First-principles (PBE) data for an optimized crystal structure of MgAlAgPt, as listed in Alexandria via LeMat-Bulk.

Unit cell a=6.358 b=6.358 c=6.358 alpha=90.00 beta=90.00 gamma=90.00
Space group F-43m (No. 216)
Unique sites:
Mg 0.000 0.000 0.000 x4
Al 0.000 0.000 0.500 x4
Ag 0.250 0.250 0.750 x4
Pt 0.250 0.250 0.250 x4

Results
ΔH_f (0 K), eV/atom: -0.58
Magnetization, μB/f.u.: 0.000
Calculated total energy, eV per cell: -66.265

Record 16
First-principles (PBE) data for an optimized crystal structure of K2Te2PbO6, as listed in Alexandria via LeMat-Bulk.

Unit cell a=10.112 b=7.058 c=6.649 alpha=90.00 beta=111.80 gamma=90.00
Space group C2/m (No. 12)
Unique sites:
K 0.174 0.000 0.123 x4
Te 0.036 0.500 0.293 x4
Pb 0.000 0.000 0.500 x2
O 0.015 0.217 0.754 x8
O 0.236 0.500 0.413 x4

Results
Magnetization, μB/f.u.: 0.000
Calculated total energy, eV per cell: -107.130
Energy relative to the elements, uncorrected, kJ per mole of atoms: -102.0

Number 1: N(E_F) 0.41 states/eV/atom. Number 2: N(E_F) 0.35 states/eV/atom. Number 3: N(E_F) 0.78 states/eV/atom. Number 4: N(E_F) 0.87 states/eV/atom. Number 5: N(E_F) 1.21 states/eV/atom. Number 6: N(E_F) 0.18 states/eV/atom. Number 7: N(E_F) 0.47 states/eV/atom. Number 8: N(E_F) 0.32 states/eV/atom. Number 9: N(E_F) 1.96 states/eV/atom. Number 10: N(E_F) 1.23 states/eV/atom. Number 11: N(E_F) 0.75 states/eV/atom. Number 12: N(E_F) 0.69 states/eV/atom. Number 13: N(E_F) 0.47 states/eV/atom. Number 14: N(E_F) 0.50 states/eV/atom. Number 15: N(E_F) 0.48 states/eV/atom. Number 16: N(E_F) 0.11 states/eV/atom.